[1]
VASP calculation (PBE) on an optimized crystal structure of Pr2Er5Cd.

Results
Calculated total energy   -4.183 eV per atom

Cell lengths 6.9646, 10.1322, 6.9494 Å; angles 90.00, 90.00, 90.00 degrees
Last column: nearest neighbours and their distance in Å.
Space group Imm2 (No. 44)
Symmetry-distinct sites (fractional):
Pr 0.0000 0.0000 0.0000 [2 per cell]  10 Er 3.36-3.59, 2 Cd 3.49
Pr 0.0000 0.5000 0.0585 [2 per cell]  2 Cd 3.31-3.64, 10 Er 3.49-3.60
Er 0.0000 0.0000 0.5169 [2 per cell]  4 Pr 3.36-3.59, 8 Er 3.46-3.60
Er 0.2472 0.2629 0.7632 [8 per cell]  2 Cd 3.36-3.71, 6 Er 3.44-3.60, 4 Pr 3.50-3.60
Cd 0.0000 0.5000 0.5346 [2 per cell]  4 Pr 3.31-3.64, 4 Er 3.36

***

[2]
VASP calculation (PBE) on an optimized crystal structure of CrReSi4.

Results
Formation energy (no corrections)   0.53 eV/atom

Cell lengths 6.7696, 6.7696, 6.7696 Å; angles 90.00, 90.00, 90.00 degrees
Last column: nearest neighbours and their distance in Å.
Space group F-43m (No. 216)
Symmetry-distinct sites (fractional):
Cr 0.0000 0.0000 0.0000 [4 per cell]  12 Si 2.81, 4 Re 2.93
Re 0.2500 0.2500 0.7500 [4 per cell]  12 Si 2.81, 4 Cr 2.93
Si 0.1253 0.1253 0.3747 [16 per cell]  6 Si 2.39-2.40

***

[3]
VASP calculation (PBE) on an optimized crystal structure of Mn2Pt.

Results
Calculated total energy   -8.130 eV per atom

Cell lengths 6.7243, 6.7243, 6.7243 Å; angles 90.00, 90.00, 90.00 degrees
Last column: nearest neighbours and their distance in Å.
Space group Fd-3m (No. 227, origin choice 2)
Symmetry-distinct sites (fractional):
Mn 0.0000 0.0000 0.0000 [16 per cell]  6 Mn 2.38
Pt 0.1250 0.1250 0.6250 [8 per cell]  12 Mn 2.79, 4 Pt 2.91

***

[4]
VASP calculation (PBE) on an optimized crystal structure of Tl2ZnSb.

Results
Energy relative to the lowest polymorph listed for this composition   121 meV/atom
Formation energy (no corrections)   0.14 eV/atom

Cell lengths 3.4426, 5.3359, 6.0780 Å; angles 90.00, 95.54, 90.00 degrees
Last column: nearest neighbours and their distance in Å.
Space group P2/m (No. 10)
Symmetry-distinct sites (fractional):
Tl 0.1907 0.0000 0.2567 [2 per cell]  2 Zn 3.18, 5 Tl 3.27-3.47, 2 Sb 3.32
Zn 0.5000 0.5000 0.5000 [1 per cell]  2 Sb 3.04, 4 Tl 3.18
Sb 0.5000 0.5000 0.0000 [1 per cell]  2 Zn 3.04, 4 Tl 3.32

***

[5]
VASP calculation (PBE) on an optimized crystal structure of ZnAsCl.

Results
Energy relative to the lowest polymorph listed for this composition   787 meV/atom
Formation energy (no corrections)   0.33 eV/atom

Cell lengths 6.4240, 6.4240, 6.4240 Å; angles 90.00, 90.00, 90.00 degrees
Last column: nearest neighbours and their distance in Å.
Space group F-43m (No. 216)
Symmetry-distinct sites (fractional):
Zn 0.0000 0.0000 0.0000 [4 per cell]  4 Cl 2.78, 4 As 2.78
As 0.2500 0.2500 0.2500 [4 per cell]  4 Zn 2.78
Cl 0.2500 0.2500 0.7500 [4 per cell]  4 Zn 2.78

***

[6]
VASP calculation (PBE) on an optimized crystal structure of KBa4Al.

Results
Calculated total energy   -1.641 eV per atom

Cell lengths 10.9607, 10.9607, 10.9607 Å; angles 90.00, 90.00, 90.00 degrees
Last column: nearest neighbours and their distance in Å.
Space group F-43m (No. 216)
Symmetry-distinct sites (fractional):
K 0.0000 0.0000 0.0000 [4 per cell]  12 Ba 4.55, 4 Al 4.75
Ba 0.1233 0.1233 0.3767 [16 per cell]  6 Ba 3.82-3.93
Al 0.2500 0.2500 0.7500 [4 per cell]  12 Ba 4.54, 4 K 4.75

***

[7]
VASP calculation (PBE) on an optimized crystal structure of Ta3WS8.

Results
Formation energy (no corrections)   -0.99 eV/atom

Cell lengths 3.3071, 27.0775, 5.7370 Å; angles 90.00, 90.00, 90.00 degrees
Last column: nearest neighbours and their distance in Å.
Space group Imm2 (No. 44)
Symmetry-distinct sites (fractional):
Ta 0.0000 0.0000 0.0000 [2 per cell]  6 S 2.47-2.49
Ta 0.0000 0.2500 0.0041 [4 per cell]  6 S 2.48
W 0.0000 0.5000 0.0066 [2 per cell]  6 S 2.44
S 0.0000 0.0565 0.3420 [4 per cell]  2 W 2.44, 1 Ta 2.49
S 0.0000 0.1919 0.6709 [4 per cell]  3 Ta 2.48
S 0.0000 0.3081 0.6709 [4 per cell]  3 Ta 2.48
S 0.0000 0.4425 0.3332 [4 per cell]  1 W 2.44, 2 Ta 2.47

***

[8]
VASP calculation (PBE) on an optimized crystal structure of MgReGePd2.

Results
Calculated total energy   -5.069 eV per atom

Cell lengths 4.9021, 4.9021, 4.7050 Å; angles 90.00, 90.00, 90.00 degrees
Last column: nearest neighbours and their distance in Å.
Space group P4/mmm (No. 123)
Symmetry-distinct sites (fractional):
Mg 0.0000 0.0000 0.0000 [1 per cell]  8 Pd 3.40, 4 Ge 3.47
Re 0.5000 0.5000 0.5000 [1 per cell]  2 Ge 2.35, 4 Pd 2.45
Ge 0.5000 0.5000 0.0000 [1 per cell]  2 Re 2.35
Pd 0.0000 0.5000 0.5000 [2 per cell]  2 Re 2.45

***

[9]
VASP calculation (PBE) on an optimized crystal structure of CrCdFe2.

Results
Calculated total energy   -6.409 eV per atom

Cell lengths 5.4264, 7.6280, 2.7266 Å; angles 90.00, 90.00, 90.00 degrees
Last column: nearest neighbours and their distance in Å.
Space group Cmmm (No. 65)
Symmetry-distinct sites (fractional):
Cr 0.0000 0.0000 0.0000 [2 per cell]  8 Fe 2.71, 2 Cd 2.71, 2 Cr 2.73
Cd 0.0000 0.5000 0.0000 [2 per cell]  8 Fe 2.71, 2 Cr 2.71, 2 Cd 2.73
Fe 0.2500 0.2500 0.5000 [4 per cell]  4 Cd 2.71, 4 Cr 2.71, 4 Fe 2.71-2.73

***

[10]
VASP calculation (PBE) on an optimized crystal structure of MnPd8Pb2.

Results
Calculated total energy   -5.476 eV per atom

Cell lengths 14.6787, 4.1567, 6.4802 Å; angles 90.00, 109.02, 90.00 degrees
Last column: nearest neighbours and their distance in Å.
Space group C2/m (No. 12)
Symmetry-distinct sites (fractional):
Mn 0.0000 0.0000 0.0000 [2 per cell]  12 Pd 2.72-2.88
Pd 0.0358 0.5000 0.7341 [4 per cell]  9 Pd 2.75-3.04, 1 Pb 2.80, 2 Mn 2.86
Pd 0.0870 0.0000 0.4467 [4 per cell]  8 Pd 2.75-3.04, 1 Mn 2.76, 2 Pb 2.83
Pd 0.1383 0.5000 0.1885 [4 per cell]  6 Pd 2.76-2.92, 2 Mn 2.88, 3 Pb 2.91-2.93
Pd 0.1697 0.0000 0.9141 [4 per cell]  3 Pb 2.72-2.84, 1 Mn 2.72, 5 Pd 2.84-2.87
Pb 0.2136 0.5000 0.6626 [4 per cell]  9 Pd 2.72-2.93

***

[11]
VASP calculation (PBE) on an optimized crystal structure of NbGa2SiSn.

Results
Formation energy (no corrections)   0.83 eV/atom

Cell lengths 5.0248, 5.0248, 5.3566 Å; angles 90.00, 90.00, 90.00 degrees
Last column: nearest neighbours and their distance in Å.
Space group P4/mmm (No. 123)
Symmetry-distinct sites (fractional):
Nb 0.0000 0.0000 0.0000 [1 per cell]  4 Ga 2.51, 2 Sn 2.68
Ga 0.0000 0.5000 0.0000 [2 per cell]  2 Nb 2.51
Si 0.5000 0.5000 0.5000 [1 per cell]  4 Sn 3.55, 8 Ga 3.67
Sn 0.0000 0.0000 0.5000 [1 per cell]  2 Nb 2.68

***

[12]
VASP calculation (PBE) on an optimized crystal structure of CrAs2P.

Results
Calculated total energy   -5.858 eV per atom

Cell lengths 3.6916, 5.0672, 3.7009 Å; angles 90.00, 90.58, 90.00 degrees
Last column: nearest neighbours and their distance in Å.
Space group P2/m (No. 10)
Symmetry-distinct sites (fractional):
Cr 0.0000 0.0000 0.0000 [1 per cell]  4 P 2.60-2.63, 4 As 2.86
As 0.2671 0.5000 0.2400 [2 per cell]  4 As 2.48-2.77
P 0.5000 0.0000 0.5000 [1 per cell]  4 Cr 2.60-2.63, 4 As 2.84